[1]
Entry from the Alexandria database: a relaxed structure of LaZnH3 (PBE).

The structure in CIF format:
```
data_LaZnH3
_chemical_formula_sum 'La1 Zn1 H3'
_cell_length_a 4.5309
_cell_length_b 4.5309
_cell_length_c 4.5309
_cell_angle_alpha 90.00
_cell_angle_beta 90.00
_cell_angle_gamma 90.00
_space_group_name_H-M_alt 'P m -3 m'
_space_group_IT_number 221
_space_group_name_Hall '-P 4 2 3'
loop_
_atom_site_label
_atom_site_type_symbol
_atom_site_fract_x
_atom_site_fract_y
_atom_site_fract_z
La1 La 0.0000 0.0000 0.0000
Zn1 Zn 0.5000 0.5000 0.5000
H1 H 0.0000 0.0000 0.5000
```

- Total moment: 0.000 μB per cell
- Energy relative to the lowest polymorph listed for this composition: 0.349 eV per atom



[2]
Entry from the Alexandria database: a relaxed structure of La2ZnH (PBE).

The structure in CIF format:
```
data_La2ZnH
_chemical_formula_sum 'La2 Zn1 H1'
_cell_length_a 3.4246
_cell_length_b 3.4246
_cell_length_c 7.4324
_cell_angle_alpha 90.00
_cell_angle_beta 90.00
_cell_angle_gamma 90.00
_space_group_name_H-M_alt 'P 4/m m m'
_space_group_IT_number 123
_space_group_name_Hall '-P 4 2'
loop_
_atom_site_label
_atom_site_type_symbol
_atom_site_fract_x
_atom_site_fract_y
_atom_site_fract_z
La1 La 0.0000 0.0000 0.2254
Zn1 Zn 0.5000 0.5000 0.5000
H1 H 0.5000 0.5000 0.0000
```

- Total moment: 0.000 μB per cell
- Energy relative to the lowest polymorph listed for this composition: 0.129 eV per atom



[3]
Entry from the Alexandria database: a relaxed structure of LaZnH2 (PBE).

The structure in CIF format:
```
data_LaZnH2
_chemical_formula_sum 'La4 Zn4 H8'
_cell_length_a 6.0647
_cell_length_b 6.0647
_cell_length_c 6.0647
_cell_angle_alpha 90.00
_cell_angle_beta 90.00
_cell_angle_gamma 90.00
_space_group_name_H-M_alt 'F m -3 m'
_space_group_IT_number 225
_space_group_name_Hall '-F 4 2 3'
loop_
_atom_site_label
_atom_site_type_symbol
_atom_site_fract_x
_atom_site_fract_y
_atom_site_fract_z
La1 La 0.0000 0.0000 0.0000
Zn1 Zn 0.0000 0.0000 0.5000
H1 H 0.2500 0.2500 0.2500
```

- Total moment: 0.000 μB per cell
- Energy relative to the lowest polymorph listed for this composition: 0.000 eV per atom



[4]
Entry from the Alexandria database: a relaxed structure of La2ZnH2 (PBE).

The structure in CIF format:
```
data_La2ZnH2
_chemical_formula_sum 'La4 Zn2 H4'
_cell_length_a 7.3156
_cell_length_b 7.3156
_cell_length_c 3.3399
_cell_angle_alpha 90.00
_cell_angle_beta 90.00
_cell_angle_gamma 90.00
_space_group_name_H-M_alt 'P 4/m b m'
_space_group_IT_number 127
_space_group_name_Hall '-P 4 2ab'
loop_
_atom_site_label
_atom_site_type_symbol
_atom_site_fract_x
_atom_site_fract_y
_atom_site_fract_z
La1 La 0.1799 0.3201 0.0000
Zn1 Zn 0.0000 0.0000 0.5000
H1 H 0.1225 0.6225 0.5000
```

- Total moment: 0.000 μB per cell
- Energy relative to the lowest polymorph listed for this composition: 0.265 eV per atom



[5]
Entry from the Alexandria database: a relaxed structure of LaZnH3 (PBE).

The structure in CIF format:
```
data_LaZnH3
_chemical_formula_sum 'La4 Zn4 H12'
_cell_length_a 6.6867
_cell_length_b 10.0390
_cell_length_c 3.9036
_cell_angle_alpha 90.00
_cell_angle_beta 90.00
_cell_angle_gamma 90.00
_space_group_name_H-M_alt 'I m m 2'
_space_group_IT_number 44
loop_
_space_group_symop_operation_xyz
'x,y,z'
'-x,-y,z'
'-x,y,z'
'x,-y,z'
'x+1/2,y+1/2,z+1/2'
'-x+1/2,-y+1/2,z+1/2'
'-x+1/2,y+1/2,z+1/2'
'x+1/2,-y+1/2,z+1/2'
loop_
_atom_site_label
_atom_site_type_symbol
_atom_site_fract_x
_atom_site_fract_y
_atom_site_fract_z
La1 La 0.0000 0.1851 0.0000
Zn1 Zn 0.1896 0.5000 0.9924
H1 H 0.2078 0.1753 0.5001
H2 H 0.2161 0.0000 0.0037
```

- Total moment: 0.000 μB per cell
- Energy relative to the lowest polymorph listed for this composition: 0.000 eV per atom



[6]
Entry from the Alexandria database: a relaxed structure of LaZnH3 (PBE).

The structure in CIF format:
```
data_LaZnH3
_chemical_formula_sum 'La1 Zn1 H3'
_cell_length_a 3.8310
_cell_length_b 3.8310
_cell_length_c 3.8310
_cell_angle_alpha 90.00
_cell_angle_beta 90.00
_cell_angle_gamma 90.00
_space_group_name_H-M_alt 'P m -3 m'
_space_group_IT_number 221
_space_group_name_Hall '-P 4 2 3'
loop_
_atom_site_label
_atom_site_type_symbol
_atom_site_fract_x
_atom_site_fract_y
_atom_site_fract_z
La1 La 0.0000 0.0000 0.0000
Zn1 Zn 0.5000 0.5000 0.5000
H1 H 0.0000 0.5000 0.5000
```

- Total moment: 0.000 μB per cell
- Energy relative to the lowest polymorph listed for this composition: 0.206 eV per atom



Number 1: VASP energy -16.3 eV per formula unit. Number 2: VASP energy -15.0 eV per formula unit. Number 3: VASP energy -14.0 eV per formula unit. Number 4: VASP energy -18.9 eV per formula unit. Number 5: VASP energy -18.0 eV per formula unit. Number 6: VASP energy -17.0 eV per formula unit.